Ca5Pt3: relaxed, PBE.

Its crystal system is trigonal. The calculation puts the calculated volume at 24.9 Å³ per atom. The total energy comes out at -90.3 eV/cell. The value obtained for the energy of formation is -0.248 eV per atom. For the excess energy over the best structure of this formula in the dataset, the calculation gives 583 meV/atom.

The structure belongs to space group R-3m (No. 166, hexagonal axes); the cell edges are 7.1255, 7.1255 and 13.5786 Å and the angles 90.00°, 90.00° and 120.00°. The inequivalent atoms are Ca at (0.0000, 0.0000, 0.0000), Ca at (0.0000, 0.0000, 0.5000), Ca at (0.0000, 0.5000, 0.0000) and Pt at (0.0000, 0.5000, 0.5000).